(1)
Density functional theory data (GGA-PBEsol) for crystalline BeAl2Rh at its relaxed geometry.

Cell: 4.1425 4.1425 4.1425 Å, 60.00 60.00 60.00°
Atoms (fractional coordinates):
Be1 0.0000 0.0000 0.0000
Al1 0.2500 0.2500 0.2500
Al2 0.5000 0.5000 0.5000
Rh1 0.7500 0.7500 0.7500

Output
symmetry	F-43m

(2)
Density functional theory data (GGA-PBEsol) for crystalline BeAlRh2 at its relaxed geometry.

Cell: 4.2160 4.2160 4.5931 Å, 109.34 109.34 40.35°
Atoms (fractional coordinates):
Be1 0.0000 0.0000 0.0000
Al1 0.5000 0.5000 0.5000
Rh1 0.2723 0.2723 0.7747
Rh2 0.7277 0.7277 0.2253

Output
symmetry	C2/m

(3)
Density functional theory data (GGA-PBEsol) for crystalline BeAlRh2 at its relaxed geometry.

Cell: 4.0599 4.0599 4.0599 Å, 60.00 60.00 60.00°
Atoms (fractional coordinates):
Be1 0.0000 0.0000 0.0000
Al1 0.5000 0.5000 0.5000
Rh1 0.2500 0.2500 0.2500
Rh2 0.7500 0.7500 0.7500

Output
symmetry	Fm-3m

(4)
Density functional theory data (GGA-PBEsol) for crystalline BeAl2Rh at its relaxed geometry.

Cell: 3.0999 3.0999 5.3161 Å, 90.00 90.00 90.00°
Atoms (fractional coordinates):
Be1 0.0000 0.0000 0.0000
Al1 0.0000 0.0000 0.4701
Al2 0.5000 0.5000 0.7641
Rh1 0.5000 0.5000 0.2279

Output
symmetry	P4mm

Number 1: calculated volume 50.3 Å³/f.u., magnetic moment 0.0 μB per formula unit, energy of formation from the pure elements -0.330 eV/atom. Number 2: calculated volume 49.5 Å³/f.u., magnetic moment 0.0 μB per formula unit, energy of formation from the pure elements -0.534 eV/atom. Number 3: calculated volume 47.3 Å³/f.u., magnetic moment 0.0 μB per formula unit, energy of formation from the pure elements -0.867 eV/atom. Number 4: calculated volume 51.1 Å³/f.u., magnetic moment 0.0 μB per formula unit, energy of formation from the pure elements -0.461 eV/atom.